No. 1
Material: Tm2TcBiO8
Method: DFT, PBE-GGA
State: optimized geometry

formation energy (no corrections)	-2208	meV per atom
space group	Cmmm

a = 4.986 Å, b = 4.990 Å, c = 6.747 Å
α = 90.00°, β = 90.00°, γ = 90.77°
Each line ends with the local moment (μB).
Element x y z (fractional)
O 0.186 0.816 0.787  0.00
O 0.814 0.185 0.787  0.00
O 0.313 0.314 0.500  -0.01
O 0.729 0.728 0.000  -0.01
O 0.271 0.272 0.000  -0.01
O 0.186 0.815 0.213  0.00
O 0.687 0.686 0.500  -0.01
O 0.814 0.184 0.213  0.00
Bi 0.000 0.000 0.500  0.01
Tc 0.000 0.000 0.000  0.24
Tm 0.500 0.500 0.752  0.00
Tm 0.500 0.500 0.248  0.00

No. 2
Material: Os2RhSe
Method: DFT, PBE-GGA
State: optimized geometry

formation energy (no corrections)	686	meV per atom
space group	Cmmm

a = 4.679 Å, b = 4.679 Å, c = 2.841 Å
α = 90.00°, β = 90.00°, γ = 106.62°
Element x y z (fractional)
Os 0.000 0.000 0.000
Os 0.500 0.500 0.000
Rh 0.500 0.000 0.500
Se 0.000 0.500 0.500

No. 3
Material: ZrIn2H
Method: DFT, PBE-GGA
State: optimized geometry

space group	Fm-3m
electronic total energy	-3.71	eV/atom

a = 4.892 Å, b = 4.892 Å, c = 4.892 Å
α = 60.00°, β = 60.00°, γ = 60.00°
Element x y z (fractional)
In 0.250 0.250 0.250
In 0.750 0.750 0.750
Zr 0.500 0.500 0.500
H 0.000 0.000 0.000

No. 4
Material: Ta4NbOs
Method: DFT, PBE-GGA
State: optimized geometry

space group	Pmna
formation enthalpy at 0 K	-73	meV per atom

a = 5.478 Å, b = 5.283 Å, c = 7.546 Å
α = 90.00°, β = 90.00°, γ = 90.00°
Element x y z (fractional)
Ta 0.250 0.237 0.250
Ta 0.750 0.237 0.250
Ta 0.000 0.738 0.375
Ta 0.500 0.738 0.125
Ta 0.750 0.763 0.750
Ta 0.000 0.262 0.625
Ta 0.500 0.262 0.875
Ta 0.250 0.763 0.750
Nb 0.500 0.500 0.500
Nb 0.000 0.500 0.000
Os 0.000 0.000 0.000
Os 0.500 0.000 0.500

Number 1: DOS(E_F) 0.126 states/eV per atom, total moment 0.22 μB per cell. Number 2: DOS(E_F) 1.200 states/eV per atom, total moment 0.00 μB per cell. Number 3: DOS(E_F) 1.210 states/eV per atom, total moment 0.00 μB per cell. Number 4: DOS(E_F) 0.653 states/eV per atom, total moment 0.00 μB per cell.